DFT (PBE-GGA) results for a relaxed Hf3Zn crystal.

Calculated values
total energy = -30.4 eV/cell
ΔE_f = 0.18 eV/atom

Lattice parameters (Å, degrees): 3.0117 3.0651 9.3545 90.00 90.00 90.00
Space group Pmm2 (No. 25)
One atom of each set of equivalent atoms:
Hf  0.0000  0.0000  0.0000 [1 per cell]
Hf  0.0000  0.5000  0.3008 [1 per cell]
Hf  0.5000  0.5000  0.7668 [1 per cell]
Zn  0.5000  0.0000  0.5027 [1 per cell]